1:
Material: Li2ZrSe3
Method: DFT, PBE
State: optimized geometry

Calculated values
For the volume, the calculation gives 20.4 Å³/atom.

extended XYZ file:
```
12
Lattice="3.3896 -5.7962 0.0000 3.3896 5.7962 0.0000 -2.3225 0.0000 6.2428" Properties=species:S:1:pos:R:3 pbc="T T T"
Li 1.6476 4.7826 4.6821
Li 2.8089 2.8168 1.5607
Li 1.6476 -2.8168 4.6821
Li 2.8089 -4.7826 1.5607
Zr 1.6476 0.9700 4.6821
Zr 2.8089 -0.9700 1.5607
Se 0.5335 2.8981 3.1214
Se -0.5724 0.9164 6.2018
Se 0.5888 -0.9164 3.0804
Se 1.6948 -2.8981 0.0000
Se 3.8677 0.9164 3.1624
Se 5.0290 -0.9164 0.0410
```

---

2:
Material: Li2ZrSe3
Method: DFT, PBE
State: optimized geometry

Calculated values
For the volume, the calculation gives 22.2 Å³/atom.

extended XYZ file:
```
24
Lattice="12.7523 0.0000 0.0000 0.0000 3.8569 0.0000 0.0000 0.0000 10.8444" Properties=species:S:1:pos:R:3 pbc="T T T"
Li 0.1873 0.9642 0.9336
Li 3.0599 2.8927 10.2132
Li 3.3163 0.9642 4.7910
Li 6.1889 2.8927 6.3558
Li 6.5634 0.9642 4.4885
Li 9.4360 2.8927 6.0534
Li 9.6924 0.9642 0.6312
Li 12.5650 2.8927 9.9107
Zr 0.0225 2.8927 3.6316
Zr 6.3536 0.9642 9.0538
Zr 6.3987 2.8927 1.7905
Zr 12.7298 0.9642 7.2127
Se 1.3560 0.9642 9.4911
Se 1.5434 2.8927 6.0350
Se 1.7013 0.9642 2.8270
Se 4.6748 2.8927 8.2492
Se 4.8327 0.9642 0.6128
Se 5.0201 2.8927 4.0689
Se 7.7322 0.9642 6.7755
Se 7.9195 2.8927 10.2315
Se 8.0774 0.9642 2.5952
Se 11.0510 2.8927 8.0174
Se 11.2089 0.9642 4.8093
Se 11.3963 2.8927 1.3533
```

---

1 wins, 35 meV/atom ahead of the next structure.

---

1:
Material: LiZnSiSn
Method: DFT, PBE
State: optimized geometry

Calculated values
For the volume, the calculation gives 18.3 Å³/atom.

extended XYZ file:
```
4
Lattice="0.0000 3.3188 3.3188 3.3188 0.0000 3.3188 3.3188 3.3188 0.0000" Properties=species:S:1:pos:R:3 pbc="T T T"
Li 0.0000 0.0000 0.0000
Zn 3.3188 3.3188 3.3188
Si 1.6594 1.6594 1.6594
Sn 4.9782 4.9782 4.9782
```

---

2:
Material: LiZnSiSn
Method: DFT, PBE
State: optimized geometry

Calculated values
For the volume, the calculation gives 19.1 Å³/atom.

extended XYZ file:
```
4
Lattice="0.0000 3.3706 3.3706 3.3706 0.0000 3.3706 3.3706 3.3706 0.0000" Properties=species:S:1:pos:R:3 pbc="T T T"
Li 0.0000 0.0000 0.0000
Zn 5.0559 5.0559 5.0559
Si 1.6853 1.6853 1.6853
Sn 3.3706 3.3706 3.3706
```

---

1 wins, 30 meV/atom ahead of the next structure.

---

1:
Material: Li2Sm
Method: DFT, PBE
State: optimized geometry

Calculated values
For the volume, the calculation gives 29.0 Å³/atom.

extended XYZ file:
```
3
Lattice="0.0000 3.5186 3.5186 3.5186 0.0000 3.5186 3.5186 3.5186 0.0000" Properties=species:S:1:pos:R:3 pbc="T T T"
Li 1.7593 1.7593 1.7593
Li 5.2780 5.2780 5.2780
Sm 0.0000 0.0000 0.0000
```

---

2:
Material: Li2Sm
Method: DFT, PBE
State: optimized geometry

Calculated values
For the volume, the calculation gives 22.9 Å³/atom.

extended XYZ file:
```
6
Lattice="0.0000 4.0983 4.0983 4.0983 0.0000 4.0983 4.0983 4.0983 0.0000" Properties=species:S:1:pos:R:3 pbc="T T T"
Li 0.0000 0.0000 0.0000
Li 2.0492 2.0492 0.0000
Li 2.0492 0.0000 2.0492
Li 0.0000 2.0492 2.0492
Sm 3.0738 3.0738 3.0738
Sm 5.1229 5.1229 5.1229
```

---

2 wins, 647 meV/atom ahead of the next structure.

---

1:
Material: LiSmTe
Method: DFT, PBE
State: optimized geometry

Calculated values
For the volume, the calculation gives 28.5 Å³/atom.

extended XYZ file:
```
3
Lattice="0.0000 3.4971 3.4971 3.4971 0.0000 3.4971 3.4971 3.4971 0.0000" Properties=species:S:1:pos:R:3 pbc="T T T"
Li 0.0000 0.0000 0.0000
Sm 3.4971 3.4971 3.4971
Te 1.7486 1.7486 1.7486
```

---

2:
Material: LiSmTe
Method: DFT, PBE
State: optimized geometry

Calculated values
For the volume, the calculation gives 30.3 Å³/atom.

extended XYZ file:
```
3
Lattice="0.0000 3.5694 3.5694 3.5694 0.0000 3.5694 3.5694 3.5694 0.0000" Properties=species:S:1:pos:R:3 pbc="T T T"
Li 0.0000 0.0000 0.0000
Sm 1.7847 1.7847 1.7847
Te 3.5694 3.5694 3.5694
```

---

1 wins, 230 meV/atom ahead of the next structure.